No. 1
Here is a relaxed structure of Li6MgSi2 from Alexandria. Energies are from PBE.

Summary:
* uncorrected energy: -2.76 eV/atom
* formation energy (no corrections): -101.8 meV per atom
* Fermi-level density of states: 0.116 states/eV/atom
* relative energy among the computed polymorphs: 92.1 meV/atom
* V: 316 Å³ per cell

abc: 12.6445 5.3093 4.7306
angles: 90.00 95.94 90.00
Space group C2/m (No. 12)
Asymmetric unit:
1 Li 0.1096 0.2296 0.4486 x8
2 Li 0.2141 0.5000 0.9647 x4
3 Mg 0.0000 0.5000 0.0000 x2
4 Si 0.0883 0.0000 0.9305 x4


No. 2
Here is a relaxed structure of LiMnIn4Se8 from Alexandria. Energies are from PBE.

Summary:
* uncorrected energy: -4.14 eV/atom
* formation energy (no corrections): -572.2 meV per atom
* Fermi-level density of states: 0.161 states/eV/atom
* V: 1086 Å³ per cell

abc: 8.0431 8.0431 19.3880
angles: 90.00 90.00 120.00
Space group R3m (No. 160, hexagonal axes)
Asymmetric unit:
1 Li 0.0000 0.0000 0.0000 x3
2 Mn 0.0000 0.0000 0.6289 x3
3 In 0.0000 0.0000 0.2467 x3
4 In 0.1760 0.3520 0.4535 x9
5 Se 0.0000 0.0000 0.3836 x3
6 Se 0.0000 0.0000 0.8691 x3
7 Se 0.0238 0.5119 0.3686 x9
8 Se 0.1845 0.3690 0.2080 x9


No. 3
Here is a relaxed structure of NpScTl2 from Alexandria. Energies are from PBE.

Summary:
* uncorrected energy: -5.95 eV/atom
* Fermi-level density of states: 1.674 states/eV/atom
* calculated formation energy: 0.05 eV per atom
* relative energy among the computed polymorphs: 0.0 meV/atom
* V: 98 Å³ per cell

abc: 3.2295 3.2295 9.3861
angles: 90.00 90.00 90.00
Space group P4/mmm (No. 123)
Asymmetric unit:
1 Np 0.0000 0.0000 0.0000 x1
2 Sc 0.0000 0.0000 0.5000 x1
3 Tl 0.5000 0.5000 0.2649 x2


No. 4
Here is a relaxed structure of CaBAs2Br from Alexandria. Energies are from PBE.

Summary:
* uncorrected energy: -3.95 eV/atom
* formation energy (no corrections): -21.3 meV per atom
* Fermi-level density of states: 0.447 states/eV/atom
* relative energy among the computed polymorphs: 0.0 meV/atom
* V: 114 Å³ per cell

abc: 4.2750 4.2750 6.2651
angles: 90.00 90.00 90.00
Space group P4/mmm (No. 123)
Asymmetric unit:
1 Ca 0.0000 0.0000 0.0000 x1
2 B 0.5000 0.5000 0.5000 x1
3 As 0.0000 0.5000 0.5000 x2
4 Br 0.5000 0.5000 0.0000 x1


No. 5
Here is a relaxed structure of NaLiCaAu2 from Alexandria. Energies are from PBE.

Summary:
* uncorrected energy: -2.06 eV/atom
* Fermi-level density of states: 0.539 states/eV/atom
* calculated formation energy: 0.30 eV per atom
* relative energy among the computed polymorphs: 51.0 meV/atom
* V: 142 Å³ per cell

abc: 5.1781 5.1781 5.2784
angles: 90.00 90.00 90.00
Space group P4/mmm (No. 123)
Asymmetric unit:
1 Na 0.0000 0.0000 0.0000 x1
2 Li 0.5000 0.5000 0.5000 x1
3 Ca 0.0000 0.0000 0.5000 x1
4 Au 0.0000 0.5000 0.0000 x2


No. 6
Here is a relaxed structure of Li2OsCl2 from Alexandria. Energies are from PBE.

Summary:
* uncorrected energy: -3.53 eV/atom
* formation energy (no corrections): 217.2 meV per atom
* Fermi-level density of states: 0.546 states/eV/atom
* relative energy among the computed polymorphs: 150.1 meV/atom
* V: 242 Å³ per cell

abc: 4.8852 4.8852 10.1400
angles: 90.00 90.00 90.00
Space group I4/mmm (No. 139)
Asymmetric unit:
1 Li 0.0000 0.0000 0.2247 x4
2 Os 0.0000 0.0000 0.5000 x2
3 Cl 0.0000 0.5000 0.2500 x4


No. 7
Here is a relaxed structure of Sr4P2Cl3 from Alexandria. Energies are from PBE.

Summary:
* uncorrected energy: -4.25 eV/atom
* formation energy (no corrections): -1687.9 meV per atom
* Fermi-level density of states: 0.502 states/eV/atom
* V: 587 Å³ per cell

abc: 7.5943 4.3816 17.6528
angles: 90.00 90.08 90.00
Space group C2/m (No. 12)
Asymmetric unit:
1 Sr 0.0008 0.0000 0.3154 x4
2 Sr 0.1665 0.5000 0.1167 x4
3 P 0.1664 0.5000 0.7944 x4
4 Cl 0.0000 0.0000 0.0000 x2
5 Cl 0.1679 0.5000 0.3959 x4


No. 8
Here is a relaxed structure of Na2InO4 from Alexandria. Energies are from PBE.

Summary:
* uncorrected energy: -4.35 eV/atom
* formation energy (no corrections): -751.4 meV per atom
* Fermi-level density of states: 0.851 states/eV/atom
* V: 217 Å³ per cell

abc: 4.2458 4.2458 12.0141
angles: 90.00 90.00 90.00
Space group I4/mmm (No. 139)
Asymmetric unit:
1 Na 0.0000 0.0000 0.1334 x4
2 In 0.0000 0.0000 0.5000 x2
3 O 0.0000 0.0000 0.3230 x4
4 O 0.0000 0.5000 0.0000 x4


No. 9
Here is a relaxed structure of Tm2BiAu from Alexandria. Energies are from PBE.

Summary:
* uncorrected energy: -4.68 eV/atom
* Fermi-level density of states: 0.901 states/eV/atom
* calculated formation energy: -0.65 eV per atom
* V: 102 Å³ per cell

abc: 3.8007 3.8007 7.0376
angles: 90.00 90.00 90.00
Space group P4/mmm (No. 123)
Asymmetric unit:
1 Tm 0.0000 0.0000 0.2341 x2
2 Bi 0.5000 0.5000 0.5000 x1
3 Au 0.5000 0.5000 0.0000 x1


No. 10
Here is a relaxed structure of ScAs2Br from Alexandria. Energies are from PBE.

Summary:
* uncorrected energy: -4.43 eV/atom
* formation energy (no corrections): -107.2 meV per atom
* Fermi-level density of states: 0.374 states/eV/atom
* relative energy among the computed polymorphs: 695.3 meV/atom
* V: 291 Å³ per cell

abc: 3.1729 3.1729 33.4029
angles: 90.00 90.00 120.00
Space group R-3m (No. 166, hexagonal axes)
Asymmetric unit:
1 Sc 0.0000 0.0000 0.0000 x3
2 As 0.0000 0.0000 0.2691 x6
3 Br 0.0000 0.0000 0.5000 x3


Please write out number 4 again, unchanged.
Here is a relaxed structure of CaBAs2Br from Alexandria. Energies are from PBE.

Summary:
* uncorrected energy: -3.95 eV/atom
* formation energy (no corrections): -21.3 meV per atom
* Fermi-level density of states: 0.447 states/eV/atom
* relative energy among the computed polymorphs: 0.0 meV/atom
* V: 114 Å³ per cell

abc: 4.2750 4.2750 6.2651
angles: 90.00 90.00 90.00
Space group P4/mmm (No. 123)
Asymmetric unit:
1 Ca 0.0000 0.0000 0.0000 x1
2 B 0.5000 0.5000 0.5000 x1
3 As 0.0000 0.5000 0.5000 x2
4 Br 0.5000 0.5000 0.0000 x1